VASP calculation (PBE) on BaSiOs after structural relaxation.

CIF file:
```
data_BaSiOs
_chemical_formula_sum 'Ba4 Si4 Os4'
_space_group_name_H-M_alt 'F -4 3 m'
_space_group_IT_number 216
_space_group_name_Hall 'F -4 2 3'
_cell_length_a 6.665
_cell_length_b 6.665
_cell_length_c 6.665
_cell_angle_alpha 90.00
_cell_angle_beta 90.00
_cell_angle_gamma 90.00
loop_
_atom_site_label
_atom_site_type_symbol
_atom_site_fract_x
_atom_site_fract_y
_atom_site_fract_z
Ba1 Ba 0.000 0.000 0.000
Si1 Si 0.250 0.250 0.250
Os1 Os 0.000 0.000 0.500
```

* VASP energy: -5.192 eV per atom